Entry 1:
Entry from the Alexandria database: a relaxed U3Ge5S12 crystal (PBE-GGA).

Properties
Total moment in μB per formula unit: 6.531
N(E_F) in states/eV per atom: 1.393
E_form (uncorrected) in eV/atom: -0.645
Calculated density in g cm⁻³: 5.32
Crystal system: cubic

The structure in CIF format:
```
data_U3Ge5S12
_symmetry_space_group_name_H-M 'I a -3 d'
_symmetry_Int_Tables_number 230
_symmetry_space_group_name_Hall '-I 4bd 2c 3'
_cell_length_a 15.4012
_cell_length_b 15.4012
_cell_length_c 15.4012
_cell_angle_alpha 90.00
_cell_angle_beta 90.00
_cell_angle_gamma 90.00
loop_
_atom_site_label
_atom_site_type_symbol
_atom_site_fract_x
_atom_site_fract_y
_atom_site_fract_z
_atom_site_occupancy
U1 U 0.0000 0.2500 0.1250 1
Ge1 Ge 0.0000 0.0000 0.0000 1
Ge2 Ge 0.0000 0.2500 0.3750 1
S1 S 0.0211 0.0633 0.6553 1
```


Entry 2:
Entry from the Alexandria database: a relaxed UGeS2 crystal (PBE-GGA).

Properties
Total moment in μB per formula unit: 2.709
N(E_F) in states/eV per atom: 1.130
E_form (uncorrected) in eV/atom: -0.786
Calculated density in g cm⁻³: 6.83
Crystal system: orthorhombic

The structure in CIF format:
```
data_UGeS2
_symmetry_space_group_name_H-M 'C m c m'
_symmetry_Int_Tables_number 63
_symmetry_space_group_name_Hall '-C 2c 2'
_cell_length_a 3.5942
_cell_length_b 25.2315
_cell_length_c 4.0163
_cell_angle_alpha 90.00
_cell_angle_beta 90.00
_cell_angle_gamma 90.00
loop_
_atom_site_label
_atom_site_type_symbol
_atom_site_fract_x
_atom_site_fract_y
_atom_site_fract_z
_atom_site_occupancy
U1 U 0.0000 0.1854 0.2500 1
Ge1 Ge 0.0000 0.4575 0.2500 1
S1 S 0.0000 0.2956 0.2500 1
S2 S 0.0000 0.3996 0.7500 1
```


Entry 3:
Entry from the Alexandria database: a relaxed U4GeS5 crystal (PBE-GGA).

Properties
Total moment in μB per formula unit: 9.771
N(E_F) in states/eV per atom: 1.905
E_form (uncorrected) in eV/atom: -1.093
Calculated density in g cm⁻³: 7.52
Crystal system: monoclinic

The structure in CIF format:
```
data_U4GeS5
_symmetry_space_group_name_H-M 'C 1 2/m 1'
_symmetry_Int_Tables_number 12
_cell_length_a 17.1284
_cell_length_b 3.9950
_cell_length_c 7.9843
_cell_angle_alpha 90.00
_cell_angle_beta 106.71
_cell_angle_gamma 90.00
loop_
_symmetry_equiv_pos_as_xyz
'x,y,z'
'-x,-y,-z'
'-x,y,-z'
'x,-y,z'
'x+1/2,y+1/2,z'
'-x+1/2,-y+1/2,-z'
'-x+1/2,y+1/2,-z'
'x+1/2,-y+1/2,z'
loop_
_atom_site_label
_atom_site_type_symbol
_atom_site_fract_x
_atom_site_fract_y
_atom_site_fract_z
_atom_site_occupancy
U1 U 0.0026 0.0000 0.2657 1
U2 U 0.1756 0.5000 0.1116 1
Ge1 Ge 0.0000 0.5000 0.0000 1
S1 S 0.0000 0.5000 0.5000 1
S2 S 0.1632 0.0000 0.8671 1
S3 S 0.1645 0.0000 0.3284 1
```


Entry 4:
Entry from the Alexandria database: a relaxed V2Ge2S crystal (PBE-GGA).

Properties
Total moment in μB per formula unit: 0.000
N(E_F) in states/eV per atom: 0.814
E_form (uncorrected) in eV/atom: -0.179
Calculated density in g cm⁻³: 6.16
Crystal system: tetragonal

The structure in CIF format:
```
data_V2Ge2S
_symmetry_space_group_name_H-M 'P 4/m b m'
_symmetry_Int_Tables_number 127
_symmetry_space_group_name_Hall '-P 4 2ab'
_cell_length_a 6.5146
_cell_length_b 6.5146
_cell_length_c 3.5467
_cell_angle_alpha 90.00
_cell_angle_beta 90.00
_cell_angle_gamma 90.00
loop_
_atom_site_label
_atom_site_type_symbol
_atom_site_fract_x
_atom_site_fract_y
_atom_site_fract_z
_atom_site_occupancy
V1 V 0.1640 0.3360 0.0000 1
Ge1 Ge 0.1365 0.6365 0.5000 1
S1 S 0.0000 0.0000 0.0000 1
```


Entry 5:
Entry from the Alexandria database: a relaxed V4GeS crystal (PBE-GGA).

Properties
Total moment in μB per formula unit: 0.000
N(E_F) in states/eV per atom: 1.131
E_form (uncorrected) in eV/atom: -0.210
Calculated density in g cm⁻³: 6.02
Crystal system: triclinic

The structure in CIF format:
```
data_V4GeS
_symmetry_space_group_name_H-M 'P -1'
_symmetry_Int_Tables_number 2
_cell_length_a 4.7544
_cell_length_b 5.9162
_cell_length_c 6.6809
_cell_angle_alpha 103.29
_cell_angle_beta 110.77
_cell_angle_gamma 90.02
loop_
_symmetry_equiv_pos_as_xyz
'x,y,z'
'-x,-y,-z'
loop_
_atom_site_label
_atom_site_type_symbol
_atom_site_fract_x
_atom_site_fract_y
_atom_site_fract_z
_atom_site_occupancy
V1 V 0.0314 0.0732 0.3565 1
V2 V 0.1742 0.4273 0.6441 1
V3 V 0.1899 0.3834 0.1513 1
V4 V 0.4610 0.8839 0.1501 1
Ge1 Ge 0.3910 0.7501 0.5001 1
S1 S 0.0000 0.0000 0.0000 1
S2 S 0.5000 0.5000 0.0000 1
```


Entry 6:
Entry from the Alexandria database: a relaxed V4GeS2 crystal (PBE-GGA).

Properties
Total moment in μB per formula unit: 4.502
N(E_F) in states/eV per atom: 0.846
E_form (uncorrected) in eV/atom: 0.399
Calculated density in g cm⁻³: 4.48
Crystal system: tetragonal

The structure in CIF format:
```
data_V4GeS2
_symmetry_space_group_name_H-M 'I 4/m m m'
_symmetry_Int_Tables_number 139
_symmetry_space_group_name_Hall '-I 4 2'
_cell_length_a 4.5204
_cell_length_b 4.5204
_cell_length_c 12.3513
_cell_angle_alpha 90.00
_cell_angle_beta 90.00
_cell_angle_gamma 90.00
loop_
_atom_site_label
_atom_site_type_symbol
_atom_site_fract_x
_atom_site_fract_y
_atom_site_fract_z
_atom_site_occupancy
V1 V 0.0000 0.0000 0.2018 1
V2 V 0.0000 0.5000 0.0000 1
Ge1 Ge 0.0000 0.0000 0.0000 1
S1 S 0.0000 0.0000 0.3876 1
```


Entry 7:
Entry from the Alexandria database: a relaxed VGeS crystal (PBE-GGA).

Properties
Total moment in μB per formula unit: 0.000
N(E_F) in states/eV per atom: 1.064
E_form (uncorrected) in eV/atom: -0.106
Calculated density in g cm⁻³: 5.59
Crystal system: hexagonal

The structure in CIF format:
```
data_VGeS
_symmetry_space_group_name_H-M 'P -6 m 2'
_symmetry_Int_Tables_number 187
_symmetry_space_group_name_Hall 'P -6 2'
_cell_length_a 4.0566
_cell_length_b 4.0566
_cell_length_c 3.2434
_cell_angle_alpha 90.00
_cell_angle_beta 90.00
_cell_angle_gamma 120.00
loop_
_atom_site_label
_atom_site_type_symbol
_atom_site_fract_x
_atom_site_fract_y
_atom_site_fract_z
_atom_site_occupancy
V1 V 0.0000 0.0000 0.0000 1
Ge1 Ge 0.6667 0.3333 0.5000 1
S1 S 0.3333 0.6667 0.0000 1
```


Entry 8:
Entry from the Alexandria database: a relaxed YVGeS2 crystal (PBE-GGA).

Properties
Total moment in μB per formula unit: 3.595
N(E_F) in states/eV per atom: 1.177
E_form (uncorrected) in eV/atom: 0.190
Calculated density in g cm⁻³: 4.09
Crystal system: tetragonal

The structure in CIF format:
```
data_YVGeS2
_symmetry_space_group_name_H-M 'P 4/m m m'
_symmetry_Int_Tables_number 123
_symmetry_space_group_name_Hall '-P 4 2'
_cell_length_a 4.8986
_cell_length_b 4.8986
_cell_length_c 4.6748
_cell_angle_alpha 90.00
_cell_angle_beta 90.00
_cell_angle_gamma 90.00
loop_
_atom_site_label
_atom_site_type_symbol
_atom_site_fract_x
_atom_site_fract_y
_atom_site_fract_z
_atom_site_occupancy
Y1 Y 0.0000 0.0000 0.0000 1
V1 V 0.5000 0.5000 0.0000 1
Ge1 Ge 0.5000 0.5000 0.5000 1
S1 S 0.0000 0.5000 0.5000 1
```


Entry 9:
Entry from the Alexandria database: a relaxed GeW2S crystal (PBE-GGA).

Properties
Total moment in μB per formula unit: 0.000
N(E_F) in states/eV per atom: 0.669
E_form (uncorrected) in eV/atom: 0.369
Calculated density in g cm⁻³: 13.41
Crystal system: cubic

The structure in CIF format:
```
data_GeW2S
_symmetry_space_group_name_H-M 'F m -3 m'
_symmetry_Int_Tables_number 225
_symmetry_space_group_name_Hall '-F 4 2 3'
_cell_length_a 6.1621
_cell_length_b 6.1621
_cell_length_c 6.1621
_cell_angle_alpha 90.00
_cell_angle_beta 90.00
_cell_angle_gamma 90.00
loop_
_atom_site_label
_atom_site_type_symbol
_atom_site_fract_x
_atom_site_fract_y
_atom_site_fract_z
_atom_site_occupancy
Ge1 Ge 0.0000 0.0000 0.0000 1
W1 W 0.2500 0.2500 0.2500 1
S1 S 0.0000 0.0000 0.5000 1
```


Entry 10:
Entry from the Alexandria database: a relaxed GeWS2 crystal (PBE-GGA).

Properties
Total moment in μB per formula unit: 0.000
N(E_F) in states/eV per atom: 0.587
E_form (uncorrected) in eV/atom: -0.241
Calculated density in g cm⁻³: 7.08
Crystal system: trigonal

The structure in CIF format:
```
data_GeWS2
_symmetry_space_group_name_H-M 'R -3 m'
_symmetry_Int_Tables_number 166
_symmetry_space_group_name_Hall '-R 3 2"'
_cell_length_a 3.1698
_cell_length_b 3.1698
_cell_length_c 25.9200
_cell_angle_alpha 90.00
_cell_angle_beta 90.00
_cell_angle_gamma 120.00
loop_
_atom_site_label
_atom_site_type_symbol
_atom_site_fract_x
_atom_site_fract_y
_atom_site_fract_z
_atom_site_occupancy
Ge1 Ge 0.0000 0.0000 0.0000 1
W1 W 0.0000 0.0000 0.5000 1
S1 S 0.0000 0.0000 0.1045 1
```


Entry 11:
Entry from the Alexandria database: a relaxed GeWS2 crystal (PBE-GGA).

Properties
Total moment in μB per formula unit: 0.000
N(E_F) in states/eV per atom: 0.533
E_form (uncorrected) in eV/atom: 0.422
Calculated density in g cm⁻³: 7.33
Crystal system: trigonal

The structure in CIF format:
```
data_GeWS2
_symmetry_space_group_name_H-M 'R -3 m'
_symmetry_Int_Tables_number 166
_symmetry_space_group_name_Hall '-R 3 2"'
_cell_length_a 3.2909
_cell_length_b 3.2909
_cell_length_c 23.2192
_cell_angle_alpha 90.00
_cell_angle_beta 90.00
_cell_angle_gamma 120.00
loop_
_atom_site_label
_atom_site_type_symbol
_atom_site_fract_x
_atom_site_fract_y
_atom_site_fract_z
_atom_site_occupancy
Ge1 Ge 0.0000 0.0000 0.0000 1
W1 W 0.0000 0.0000 0.5000 1
S1 S 0.0000 0.0000 0.4011 1
```


Entry 12:
Entry from the Alexandria database: a relaxed Ge2WS crystal (PBE-GGA).

Properties
Total moment in μB per formula unit: 0.399
N(E_F) in states/eV per atom: 0.880
E_form (uncorrected) in eV/atom: 0.814
Calculated density in g cm⁻³: 6.41
Crystal system: tetragonal

The structure in CIF format:
```
data_Ge2WS
_symmetry_space_group_name_H-M 'I -4 2 d'
_symmetry_Int_Tables_number 122
_symmetry_space_group_name_Hall 'I -4 2bw'
_cell_length_a 5.8961
_cell_length_b 5.8961
_cell_length_c 10.7629
_cell_angle_alpha 90.00
_cell_angle_beta 90.00
_cell_angle_gamma 90.00
loop_
_atom_site_label
_atom_site_type_symbol
_atom_site_fract_x
_atom_site_fract_y
_atom_site_fract_z
_atom_site_occupancy
Ge1 Ge 0.2470 0.2500 0.1250 1
W1 W 0.0000 0.0000 0.0000 1
S1 S 0.0000 0.0000 0.5000 1
```


Repeat the fourth record exactly.
Entry from the Alexandria database: a relaxed V2Ge2S crystal (PBE-GGA).

Properties
Total moment in μB per formula unit: 0.000
N(E_F) in states/eV per atom: 0.814
E_form (uncorrected) in eV/atom: -0.179
Calculated density in g cm⁻³: 6.16
Crystal system: tetragonal

The structure in CIF format:
```
data_V2Ge2S
_symmetry_space_group_name_H-M 'P 4/m b m'
_symmetry_Int_Tables_number 127
_symmetry_space_group_name_Hall '-P 4 2ab'
_cell_length_a 6.5146
_cell_length_b 6.5146
_cell_length_c 3.5467
_cell_angle_alpha 90.00
_cell_angle_beta 90.00
_cell_angle_gamma 90.00
loop_
_atom_site_label
_atom_site_type_symbol
_atom_site_fract_x
_atom_site_fract_y
_atom_site_fract_z
_atom_site_occupancy
V1 V 0.1640 0.3360 0.0000 1
Ge1 Ge 0.1365 0.6365 0.5000 1
S1 S 0.0000 0.0000 0.0000 1
```


Question: Which value of E_form (uncorrected) does entry 1 give?
Answer: -0.645 eV/atom


Question: Which value of N(E_F) does entry 2 give?
Answer: 1.130 states/eV per atom


Question: The highest calculated density belongs to which entry?
Answer: GeW2S